# 1
# Ac3Pm3Tl2 | Alexandria | PBE | relaxed
# energy relative to the elements = -0.1156 eV per atom
# theoretical density = 8.5 Mg/m³
# V = 1190 Å³/cell
data_Ac3Pm3Tl2
_space_group_name_H-M_alt 'C m c m'
_space_group_IT_number 63
_space_group_name_Hall '-C 2c 2'
_cell_length_a 5.1847
_cell_length_b 12.9711
_cell_length_c 17.6934
_cell_angle_alpha 90.00
_cell_angle_beta 90.00
_cell_angle_gamma 90.00
loop_
_atom_site_label
_atom_site_fract_x
_atom_site_fract_y
_atom_site_fract_z
Ac1 0.0000 0.0528 0.1105
Ac2 0.0000 0.3335 0.2500
Pm1 0.0000 0.3650 0.0362
Pm2 0.0000 0.3847 0.7500
Tl1 0.0000 0.2281 0.6146



# 2
# Ac2PmTl2 | Alexandria | PBE | relaxed
# energy relative to the elements = -0.2859 eV per atom
# theoretical density = 9.2 Mg/m³
# V = 365 Å³/cell
data_Ac2PmTl2
_space_group_name_H-M_alt 'I m m m'
_space_group_IT_number 71
_space_group_name_Hall '-I 2 2'
_cell_length_a 5.0091
_cell_length_b 7.2780
_cell_length_c 10.0110
_cell_angle_alpha 90.00
_cell_angle_beta 90.00
_cell_angle_gamma 90.00
loop_
_atom_site_label
_atom_site_fract_x
_atom_site_fract_y
_atom_site_fract_z
Ac1 0.0000 0.0000 0.1965
Pm1 0.0000 0.5000 0.0000
Tl1 0.0000 0.2777 0.5000